1.
Crystalline AlSi2Ni4 at its relaxed geometry. Source: the Alexandria database, functional PBE.

The structure in POSCAR format:
```
AlSi2Ni4
1.0
1.813 -3.141 0.000
1.813 3.141 0.000
0.000 0.000 9.686
Al Si Ni
1 2 4
Cartesian
0.000 0.000 6.751 Al
1.813 1.047 0.623 Si
1.813 -1.047 3.625 Si
0.000 0.000 9.290 Ni
0.000 0.000 4.376 Ni
1.813 1.047 2.858 Ni
1.813 1.047 8.005 Ni
```

- N(E_F) (states/eV per cell) = 4.1
- space-group type = P3m1 (156)
- formation energy from raw total energies (eV/atom) = 0.0381
- relative energy among the computed polymorphs (eV/atom) = 0.568

---

2.
Crystalline AlSiNi at its relaxed geometry. Source: the Alexandria database, functional PBE.

The structure in POSCAR format:
```
AlSiNi
1.0
-0.891 -0.368 -2.444
-1.022 -5.294 1.169
-5.215 1.380 1.694
Ni Si Al
2 2 2
Cartesian
-3.322 -0.702 1.317 Ni
-1.155 -3.677 0.974 Ni
-5.652 -1.005 0.800 Si
-3.258 -2.805 0.198 Si
-5.341 -4.048 1.144 Al
-1.861 -0.214 -0.702 Al
```

- N(E_F) (states/eV per cell) = 2.6
- space-group type = Pmc2_1 (26)
- formation energy from raw total energies (eV/atom) = -0.3251

---

3.
Crystalline AlSiNi2 at its relaxed geometry. Source: the Alexandria database, functional PBE.

The structure in POSCAR format:
```
AlSiNi2
1.0
-2.347 -1.112 0.701
0.877 -0.198 -2.536
3.937 -7.105 1.917
Ni Si Al
2 1 1
Cartesian
-1.282 -3.035 1.220 Ni
0.524 -6.294 2.099 Ni
0.877 -0.198 -2.536 Si
1.771 -4.055 -0.498 Al
```

- N(E_F) (states/eV per cell) = 2.5
- space-group type = P-6m2 (187)
- formation energy from raw total energies (eV/atom) = -0.0716

---

4.
Crystalline Al3Si3Ni at its relaxed geometry. Source: the Alexandria database, functional PBE.

The structure in POSCAR format:
```
Al3Si3Ni
1.0
-0.850 2.233 1.530
-6.673 -2.796 0.372
2.545 -4.929 8.610
Ni Si Al
2 6 6
Cartesian
-4.507 -2.914 3.065 Ni
-0.471 -2.578 7.447 Ni
-1.679 -3.641 5.697 Si
0.961 -2.535 5.550 Si
-5.938 -2.957 4.962 Si
-3.299 -1.851 4.815 Si
-1.644 -0.600 1.277 Si
-3.334 -4.892 9.235 Si
-0.950 -4.974 8.048 Al
1.623 -3.896 7.904 Al
-6.601 -1.596 2.607 Al
-4.028 -0.518 2.464 Al
-1.011 -1.825 3.417 Al
-3.967 -3.667 7.095 Al
```

- N(E_F) (states/eV per cell) = 5.4
- space-group type = Pmmn (59)
- formation energy from raw total energies (eV/atom) = -0.0054
- relative energy among the computed polymorphs (eV/atom) = 0.034